1.
Density functional theory data (GGA-PBE) for a relaxed CdAsAuO crystal.

Structure (CIF):
```
data_CdAsAuO
_chemical_formula_sum 'Cd2 As2 Au2 O2'
_cell_length_a 3.6275
_cell_length_b 7.7016
_cell_length_c 5.6736
_cell_angle_alpha 90.00
_cell_angle_beta 90.00
_cell_angle_gamma 90.00
_symmetry_space_group_name_H-M 'P m c 21'
_symmetry_Int_Tables_number 26
loop_
_symmetry_equiv_pos_as_xyz
'x,y,z'
'-x,-y,z+1/2'
'-x,y,z'
'x,-y,z+1/2'
loop_
_atom_site_label
_atom_site_fract_x
_atom_site_fract_y
_atom_site_fract_z
Cd1 0.0000 0.1522 0.0000
As1 0.5000 0.3902 0.8384
Au1 0.5000 0.3004 0.4064
O1 0.0000 0.1131 0.3902
```

Total DFT energy (no corrections) (eV for the cell shown): -28.270
ΔE to the lowest computed polymorph (meV/atom): 123

2.
Density functional theory data (GGA-PBE) for a relaxed CdAsPtAu crystal.

Structure (CIF):
```
data_CdAsPtAu
_chemical_formula_sum 'Cd4 As4 Pt4 Au4'
_cell_length_a 6.6322
_cell_length_b 6.6322
_cell_length_c 6.6322
_cell_angle_alpha 90.00
_cell_angle_beta 90.00
_cell_angle_gamma 90.00
_symmetry_space_group_name_H-M 'F -4 3 m'
_symmetry_Int_Tables_number 216
_symmetry_space_group_name_Hall 'F -4 2 3'
loop_
_atom_site_label
_atom_site_fract_x
_atom_site_fract_y
_atom_site_fract_z
Cd1 0.0000 0.0000 0.0000
As1 0.0000 0.0000 0.5000
Pt1 0.2500 0.2500 0.7500
Au1 0.2500 0.2500 0.2500
```

Total DFT energy (no corrections) (eV for the cell shown): -58.591
Magnetization (μB/cell): 0.01
ΔE to the lowest computed polymorph (meV/atom): 0

3.
Density functional theory data (GGA-PBE) for a relaxed Co3As5Au crystal.

Structure (CIF):
```
data_Co3As5Au
_chemical_formula_sum 'Co3 As5 Au1'
_cell_length_a 4.9299
_cell_length_b 4.9299
_cell_length_c 7.0750
_cell_angle_alpha 90.00
_cell_angle_beta 90.00
_cell_angle_gamma 120.00
_symmetry_space_group_name_H-M 'P 6/m m m'
_symmetry_Int_Tables_number 191
_symmetry_space_group_name_Hall '-P 6 2'
loop_
_atom_site_label
_atom_site_fract_x
_atom_site_fract_y
_atom_site_fract_z
Co1 0.0000 0.5000 0.0000
As1 0.0000 0.0000 0.0000
As2 0.3333 0.6667 0.2792
Au1 0.0000 0.0000 0.5000
```

Total DFT energy (no corrections) (eV for the cell shown): -47.442
Magnetization (μB/cell): 0.01

4.
Density functional theory data (GGA-PBE) for a relaxed FeCoAsAu crystal.

Structure (CIF):
```
data_FeCoAsAu
_chemical_formula_sum 'Fe4 Co4 As4 Au4'
_cell_length_a 6.0747
_cell_length_b 6.0747
_cell_length_c 6.0747
_cell_angle_alpha 90.00
_cell_angle_beta 90.00
_cell_angle_gamma 90.00
_symmetry_space_group_name_H-M 'F -4 3 m'
_symmetry_Int_Tables_number 216
_symmetry_space_group_name_Hall 'F -4 2 3'
loop_
_atom_site_label
_atom_site_fract_x
_atom_site_fract_y
_atom_site_fract_z
Fe1 0.0000 0.0000 0.0000
Co1 0.0000 0.0000 0.5000
As1 0.2500 0.2500 0.2500
Au1 0.2500 0.2500 0.7500
```

Total DFT energy (no corrections) (eV for the cell shown): -89.944
Magnetization (μB/cell): 14.12
ΔE to the lowest computed polymorph (meV/atom): 0

5.
Density functional theory data (GGA-PBE) for a relaxed GaCoAsAu crystal.

Structure (CIF):
```
data_GaCoAsAu
_chemical_formula_sum 'Ga4 Co4 As4 Au4'
_cell_length_a 6.3474
_cell_length_b 6.3474
_cell_length_c 6.3474
_cell_angle_alpha 90.00
_cell_angle_beta 90.00
_cell_angle_gamma 90.00
_symmetry_space_group_name_H-M 'F -4 3 m'
_symmetry_Int_Tables_number 216
_symmetry_space_group_name_Hall 'F -4 2 3'
loop_
_atom_site_label
_atom_site_fract_x
_atom_site_fract_y
_atom_site_fract_z
Ga1 0.0000 0.0000 0.0000
Co1 0.0000 0.0000 0.5000
As1 0.2500 0.2500 0.7500
Au1 0.2500 0.2500 0.2500
```

Total DFT energy (no corrections) (eV for the cell shown): -67.835
Magnetization (μB/cell): 6.69
ΔE to the lowest computed polymorph (meV/atom): 18

6.
Density functional theory data (GGA-PBE) for a relaxed GaCoAsAu crystal.

Structure (CIF):
```
data_GaCoAsAu
_chemical_formula_sum 'Ga4 Co4 As4 Au4'
_cell_length_a 6.3405
_cell_length_b 6.3405
_cell_length_c 6.3405
_cell_angle_alpha 90.00
_cell_angle_beta 90.00
_cell_angle_gamma 90.00
_symmetry_space_group_name_H-M 'F -4 3 m'
_symmetry_Int_Tables_number 216
_symmetry_space_group_name_Hall 'F -4 2 3'
loop_
_atom_site_label
_atom_site_fract_x
_atom_site_fract_y
_atom_site_fract_z
Ga1 0.0000 0.0000 0.0000
Co1 0.2500 0.2500 0.7500
As1 0.0000 0.0000 0.5000
Au1 0.2500 0.2500 0.2500
```

Total DFT energy (no corrections) (eV for the cell shown): -68.120
Magnetization (μB/cell): 4.57
ΔE to the lowest computed polymorph (meV/atom): 0

7.
Density functional theory data (GGA-PBE) for a relaxed HfCoAsAu crystal.

Structure (CIF):
```
data_HfCoAsAu
_chemical_formula_sum 'Hf4 Co4 As4 Au4'
_cell_length_a 6.4211
_cell_length_b 6.4211
_cell_length_c 6.4211
_cell_angle_alpha 90.00
_cell_angle_beta 90.00
_cell_angle_gamma 90.00
_symmetry_space_group_name_H-M 'F -4 3 m'
_symmetry_Int_Tables_number 216
_symmetry_space_group_name_Hall 'F -4 2 3'
loop_
_atom_site_label
_atom_site_fract_x
_atom_site_fract_y
_atom_site_fract_z
Hf1 0.0000 0.0000 0.0000
Co1 0.0000 0.0000 0.5000
As1 0.2500 0.2500 0.2500
Au1 0.2500 0.2500 0.7500
```

Total DFT energy (no corrections) (eV for the cell shown): -102.916
Magnetization (μB/cell): 3.95
ΔE to the lowest computed polymorph (meV/atom): 0

8.
Density functional theory data (GGA-PBE) for a relaxed HfCoAsAu crystal.

Structure (CIF):
```
data_HfCoAsAu
_chemical_formula_sum 'Hf4 Co4 As4 Au4'
_cell_length_a 6.4456
_cell_length_b 6.4456
_cell_length_c 6.4456
_cell_angle_alpha 90.00
_cell_angle_beta 90.00
_cell_angle_gamma 90.00
_symmetry_space_group_name_H-M 'F -4 3 m'
_symmetry_Int_Tables_number 216
_symmetry_space_group_name_Hall 'F -4 2 3'
loop_
_atom_site_label
_atom_site_fract_x
_atom_site_fract_y
_atom_site_fract_z
Hf1 0.0000 0.0000 0.0000
Co1 0.2500 0.2500 0.7500
As1 0.0000 0.0000 0.5000
Au1 0.2500 0.2500 0.2500
```

Total DFT energy (no corrections) (eV for the cell shown): -100.277
Magnetization (μB/cell): 1.47
ΔE to the lowest computed polymorph (meV/atom): 165

9.
Density functional theory data (GGA-PBE) for a relaxed InCoAsAu crystal.

Structure (CIF):
```
data_InCoAsAu
_chemical_formula_sum 'In4 Co4 As4 Au4'
_cell_length_a 6.5206
_cell_length_b 6.5206
_cell_length_c 6.5206
_cell_angle_alpha 90.00
_cell_angle_beta 90.00
_cell_angle_gamma 90.00
_symmetry_space_group_name_H-M 'F -4 3 m'
_symmetry_Int_Tables_number 216
_symmetry_space_group_name_Hall 'F -4 2 3'
loop_
_atom_site_label
_atom_site_fract_x
_atom_site_fract_y
_atom_site_fract_z
In1 0.0000 0.0000 0.0000
Co1 0.2500 0.2500 0.7500
As1 0.0000 0.0000 0.5000
Au1 0.2500 0.2500 0.2500
```

Total DFT energy (no corrections) (eV for the cell shown): -65.771
Magnetization (μB/cell): 6.11
ΔE to the lowest computed polymorph (meV/atom): 0

10.
Density functional theory data (GGA-PBE) for a relaxed CoAsIrAu crystal.

Structure (CIF):
```
data_CoAsIrAu
_chemical_formula_sum 'Co4 As4 Ir4 Au4'
_cell_length_a 6.2273
_cell_length_b 6.2273
_cell_length_c 6.2273
_cell_angle_alpha 90.00
_cell_angle_beta 90.00
_cell_angle_gamma 90.00
_symmetry_space_group_name_H-M 'F -4 3 m'
_symmetry_Int_Tables_number 216
_symmetry_space_group_name_Hall 'F -4 2 3'
loop_
_atom_site_label
_atom_site_fract_x
_atom_site_fract_y
_atom_site_fract_z
Co1 0.0000 0.0000 0.0000
As1 0.2500 0.2500 0.7500
Ir1 0.0000 0.0000 0.5000
Au1 0.2500 0.2500 0.2500
```

Total DFT energy (no corrections) (eV for the cell shown): -90.340
Magnetization (μB/cell): 5.48
ΔE to the lowest computed polymorph (meV/atom): 0

11.
Density functional theory data (GGA-PBE) for a relaxed LaCoAsAu crystal.

Structure (CIF):
```
data_LaCoAsAu
_chemical_formula_sum 'La4 Co4 As4 Au4'
_cell_length_a 6.9007
_cell_length_b 6.9007
_cell_length_c 6.9007
_cell_angle_alpha 90.00
_cell_angle_beta 90.00
_cell_angle_gamma 90.00
_symmetry_space_group_name_H-M 'F -4 3 m'
_symmetry_Int_Tables_number 216
_symmetry_space_group_name_Hall 'F -4 2 3'
loop_
_atom_site_label
_atom_site_fract_x
_atom_site_fract_y
_atom_site_fract_z
La1 0.0000 0.0000 0.0000
Co1 0.2500 0.2500 0.2500
As1 0.2500 0.2500 0.7500
Au1 0.0000 0.0000 0.5000
```

Total DFT energy (no corrections) (eV for the cell shown): -81.393
Magnetization (μB/cell): 6.03
ΔE to the lowest computed polymorph (meV/atom): 166

12.
Density functional theory data (GGA-PBE) for a relaxed LaCoAsAu crystal.

Structure (CIF):
```
data_LaCoAsAu
_chemical_formula_sum 'La4 Co4 As4 Au4'
_cell_length_a 6.8824
_cell_length_b 6.8824
_cell_length_c 6.8824
_cell_angle_alpha 90.00
_cell_angle_beta 90.00
_cell_angle_gamma 90.00
_symmetry_space_group_name_H-M 'F -4 3 m'
_symmetry_Int_Tables_number 216
_symmetry_space_group_name_Hall 'F -4 2 3'
loop_
_atom_site_label
_atom_site_fract_x
_atom_site_fract_y
_atom_site_fract_z
La1 0.0000 0.0000 0.0000
Co1 0.2500 0.2500 0.2500
As1 0.0000 0.0000 0.5000
Au1 0.2500 0.2500 0.7500
```

Total DFT energy (no corrections) (eV for the cell shown): -81.994
Magnetization (μB/cell): 5.35
ΔE to the lowest computed polymorph (meV/atom): 128

13.
Density functional theory data (GGA-PBE) for a relaxed LaCoAsAu crystal.

Structure (CIF):
```
data_LaCoAsAu
_chemical_formula_sum 'La4 Co4 As4 Au4'
_cell_length_a 6.9409
_cell_length_b 6.9409
_cell_length_c 6.9409
_cell_angle_alpha 90.00
_cell_angle_beta 90.00
_cell_angle_gamma 90.00
_symmetry_space_group_name_H-M 'F -4 3 m'
_symmetry_Int_Tables_number 216
_symmetry_space_group_name_Hall 'F -4 2 3'
loop_
_atom_site_label
_atom_site_fract_x
_atom_site_fract_y
_atom_site_fract_z
La1 0.0000 0.0000 0.0000
Co1 0.0000 0.0000 0.5000
As1 0.2500 0.2500 0.2500
Au1 0.2500 0.2500 0.7500
```

Total DFT energy (no corrections) (eV for the cell shown): -84.045
Magnetization (μB/cell): 7.73
ΔE to the lowest computed polymorph (meV/atom): 0

14.
Density functional theory data (GGA-PBE) for a relaxed LiCoAsAu crystal.

Structure (CIF):
```
data_LiCoAsAu
_chemical_formula_sum 'Li4 Co4 As4 Au4'
_cell_length_a 6.1019
_cell_length_b 6.1019
_cell_length_c 6.1019
_cell_angle_alpha 90.00
_cell_angle_beta 90.00
_cell_angle_gamma 90.00
_symmetry_space_group_name_H-M 'F -4 3 m'
_symmetry_Int_Tables_number 216
_symmetry_space_group_name_Hall 'F -4 2 3'
loop_
_atom_site_label
_atom_site_fract_x
_atom_site_fract_y
_atom_site_fract_z
Li1 0.0000 0.0000 0.0000
Co1 0.0000 0.0000 0.5000
As1 0.2500 0.2500 0.2500
Au1 0.2500 0.2500 0.7500
```

Total DFT energy (no corrections) (eV for the cell shown): -69.540
Magnetization (μB/cell): 4.03
ΔE to the lowest computed polymorph (meV/atom): 0

15.
Density functional theory data (GGA-PBE) for a relaxed MgCoAsAu crystal.

Structure (CIF):
```
data_MgCoAsAu
_chemical_formula_sum 'Mg4 Co4 As4 Au4'
_cell_length_a 6.3535
_cell_length_b 6.3535
_cell_length_c 6.3535
_cell_angle_alpha 90.00
_cell_angle_beta 90.00
_cell_angle_gamma 90.00
_symmetry_space_group_name_H-M 'F -4 3 m'
_symmetry_Int_Tables_number 216
_symmetry_space_group_name_Hall 'F -4 2 3'
loop_
_atom_site_label
_atom_site_fract_x
_atom_site_fract_y
_atom_site_fract_z
Mg1 0.0000 0.0000 0.0000
Co1 0.0000 0.0000 0.5000
As1 0.2500 0.2500 0.2500
Au1 0.2500 0.2500 0.7500
```

Total DFT energy (no corrections) (eV for the cell shown): -66.234
Magnetization (μB/cell): 5.62
ΔE to the lowest computed polymorph (meV/atom): 0

16.
Density functional theory data (GGA-PBE) for a relaxed NbCoAsAu crystal.

Structure (CIF):
```
data_NbCoAsAu
_chemical_formula_sum 'Nb4 Co4 As4 Au4'
_cell_length_a 6.3121
_cell_length_b 6.3121
_cell_length_c 6.3121
_cell_angle_alpha 90.00
_cell_angle_beta 90.00
_cell_angle_gamma 90.00
_symmetry_space_group_name_H-M 'F -4 3 m'
_symmetry_Int_Tables_number 216
_symmetry_space_group_name_Hall 'F -4 2 3'
loop_
_atom_site_label
_atom_site_fract_x
_atom_site_fract_y
_atom_site_fract_z
Nb1 0.0000 0.0000 0.0000
Co1 0.0000 0.0000 0.5000
As1 0.2500 0.2500 0.2500
Au1 0.2500 0.2500 0.7500
```

Total DFT energy (no corrections) (eV for the cell shown): -99.449
Magnetization (μB/cell): 1.75
ΔE to the lowest computed polymorph (meV/atom): 0

17.
Density functional theory data (GGA-PBE) for a relaxed NbCoAsAu crystal.

Structure (CIF):
```
data_NbCoAsAu
_chemical_formula_sum 'Nb4 Co4 As4 Au4'
_cell_length_a 6.3885
_cell_length_b 6.3885
_cell_length_c 6.3885
_cell_angle_alpha 90.00
_cell_angle_beta 90.00
_cell_angle_gamma 90.00
_symmetry_space_group_name_H-M 'F -4 3 m'
_symmetry_Int_Tables_number 216
_symmetry_space_group_name_Hall 'F -4 2 3'
loop_
_atom_site_label
_atom_site_fract_x
_atom_site_fract_y
_atom_site_fract_z
Nb1 0.0000 0.0000 0.0000
Co1 0.2500 0.2500 0.7500
As1 0.0000 0.0000 0.5000
Au1 0.2500 0.2500 0.2500
```

Total DFT energy (no corrections) (eV for the cell shown): -95.389
Magnetization (μB/cell): 0.11
ΔE to the lowest computed polymorph (meV/atom): 254

18.
Density functional theory data (GGA-PBE) for a relaxed CoNiAsAu crystal.

Structure (CIF):
```
data_CoNiAsAu
_chemical_formula_sum 'Co4 Ni4 As4 Au4'
_cell_length_a 6.1130
_cell_length_b 6.1130
_cell_length_c 6.1130
_cell_angle_alpha 90.00
_cell_angle_beta 90.00
_cell_angle_gamma 90.00
_symmetry_space_group_name_H-M 'F -4 3 m'
_symmetry_Int_Tables_number 216
_symmetry_space_group_name_Hall 'F -4 2 3'
loop_
_atom_site_label
_atom_site_fract_x
_atom_site_fract_y
_atom_site_fract_z
Co1 0.0000 0.0000 0.0000
Ni1 0.2500 0.2500 0.2500
As1 0.2500 0.2500 0.7500
Au1 0.0000 0.0000 0.5000
```

Total DFT energy (no corrections) (eV for the cell shown): -78.050
Magnetization (μB/cell): 6.87
ΔE to the lowest computed polymorph (meV/atom): 134

19.
Density functional theory data (GGA-PBE) for a relaxed CoNiAsAu crystal.

Structure (CIF):
```
data_CoNiAsAu
_chemical_formula_sum 'Co4 Ni4 As4 Au4'
_cell_length_a 6.0550
_cell_length_b 6.0550
_cell_length_c 6.0550
_cell_angle_alpha 90.00
_cell_angle_beta 90.00
_cell_angle_gamma 90.00
_symmetry_space_group_name_H-M 'F -4 3 m'
_symmetry_Int_Tables_number 216
_symmetry_space_group_name_Hall 'F -4 2 3'
loop_
_atom_site_label
_atom_site_fract_x
_atom_site_fract_y
_atom_site_fract_z
Co1 0.0000 0.0000 0.0000
Ni1 0.0000 0.0000 0.5000
As1 0.2500 0.2500 0.7500
Au1 0.2500 0.2500 0.2500
```

Total DFT energy (no corrections) (eV for the cell shown): -80.187
Magnetization (μB/cell): 5.07
ΔE to the lowest computed polymorph (meV/atom): 0